A relaxed GaPdPb3 crystal. Source: Alexandria via LeMat-Bulk, functional PBE.

The structure in POSCAR format:
```
GaPdPb3
1.0
-1.9171 -3.3980 3.7214
-3.2586 -2.2013 -3.6886
3.8441 -3.5606 -1.2709
Pd Pb Ga
1 3 1
direct
0.0000 0.0000 0.0000
0.0000 0.5000 0.0000
0.0000 0.0000 0.5000
0.5000 0.0000 0.0000
0.5000 0.5000 0.5000
```

Values from the calculation:
Calculated formation energy   0.184 eV/atom
DFT total energy   -3.685 eV/atom